5
Lattice="4.6405 0.0000 0.0000 0.0000 6.6578 0.0000 0.0000 0.0000 4.6405" Properties=species:S:1:pos:R:3 comment="CsGaSeF2 (PBE-GGA, optimized geometry)" raw_formation_energy_ev_per_atom=-0.5484 dft_energy_ev_per_atom=-2.770 pbc="T T T"
F 0.0000 0.0000 2.3202
F 2.3202 0.0000 0.0000
Ga 0.0000 3.3289 0.0000
Se 2.3202 3.3289 2.3202
Cs 0.0000 0.0000 0.0000


9
Lattice="5.9821 -0.0216 0.0097 2.9773 4.9554 -0.0075 0.0084 -0.0081 5.8214" Properties=species:S:1:pos:R:3 comment="CsGaSnF6 (PBE-GGA, optimized geometry)" raw_formation_energy_ev_per_atom=-2.5990 dft_energy_ev_per_atom=-4.722 pbc="T T T"
Sn 5.8278 3.5744 2.5373
F 2.8189 0.0853 4.2286
F 4.3412 0.4857 2.2480
F 4.3748 2.5343 4.0837
F 1.7427 0.6384 1.9794
F 3.3135 2.9982 1.7070
F 1.5947 2.6113 3.9017
Ga 3.0066 1.6897 2.9984
Cs 5.8809 0.1226 5.4388